{"formula": "BaMgMn2Cl8", "functional": "PBE", "state": "relaxed", "lattice": [[6.475, 0.000, 0.000], [-3.238, 5.608, 0.000], [0.000, 0.000, 8.785]], "species": ["Ba", "Mg", "Cl", "Cl", "Cl", "Cl", "Cl", "Cl", "Cl", "Cl", "Mn", "Mn"], "fractional_positions": [[0.000, 0.000, 0.000], [0.000, 0.000, 0.500], [0.333, 0.667, 0.994], [0.012, 0.702, 0.323], [0.988, 0.298, 0.677], [0.298, 0.310, 0.323], [0.667, 0.333, 0.006], [0.310, 0.012, 0.677], [0.702, 0.690, 0.677], [0.690, 0.988, 0.323], [0.333, 0.667, 0.729], [0.667, 0.333, 0.271]], "crystal_system": "trigonal", "final_energy_ev_per_atom": -4.632, "magmom_total_mub_per_cell": 10.00, "space_group": "P-3, No. 147", "formation_energy_uncorrected_ev_per_atom": -1.580}